[1]
Computed, not measured: a relaxed structure of CaCd2InSn at the PBE level of DFT.

Computed properties:
Its total energy is -2.230 eV per atom. Its calculated formation energy is -11.11 kJ per mole of atoms. As for the total magnetization: 0.0 Bohr magnetons per cell. The theoretical density comes out at 5.623 g/cm3. The crystal system is orthorhombic. Its symmetry is Cmcm (63).

Unit cell a=4.523 b=9.098 c=7.386 alpha=90.00 beta=90.00 gamma=104.39
Fractional positions:
Cd  0.838  0.676  0.448
Cd  0.838  0.676  0.052
Cd  0.162  0.324  0.948
Cd  0.162  0.324  0.552
Ca  0.388  0.777  0.750
Ca  0.612  0.223  0.250
Sn  0.730  0.459  0.750
Sn  0.270  0.541  0.250
In  0.000  0.000  0.500
In  0.000  0.000  0.000



[2]
Computed, not measured: a relaxed structure of YMgNi2 at the PBE level of DFT.

Computed properties:
Its total energy is -5.198 eV per atom. Its calculated formation energy is -28.27 kJ per mole of atoms. As for the total magnetization: 0.0 Bohr magnetons per cell. The theoretical density comes out at 5.281 g/cm3. The crystal system is orthorhombic. Its symmetry is Amm2 (38).

Unit cell a=3.895 b=3.794 c=5.258 alpha=68.90 beta=90.00 gamma=90.00
Fractional positions:
Y  0.000  0.478  0.420
Mg  0.500  0.767  0.841
Ni  0.000  0.196  0.984
Ni  0.500  0.059  0.256



[3]
Computed, not measured: a relaxed structure of PrCdInPd3 at the PBE level of DFT.

Computed properties:
Its total energy is -4.416 eV per atom. Its calculated formation energy is -39.93 kJ per mole of atoms. As for the total magnetization: 0.0 Bohr magnetons per cell. The theoretical density comes out at 8.755 g/cm3. The crystal system is orthorhombic. Its symmetry is Cmcm (63).

Unit cell a=6.656 b=5.943 c=7.232 alpha=114.26 beta=90.00 gamma=90.00
Fractional positions:
Pr  0.750  0.344  0.688
Pr  0.250  0.656  0.312
Cd  0.750  0.109  0.218
Cd  0.250  0.891  0.782
Pd  0.000  0.740  0.000
Pd  0.250  0.151  0.302
Pd  0.000  0.260  0.000
Pd  0.500  0.260  0.000
Pd  0.500  0.740  0.000
Pd  0.750  0.849  0.698
In  0.750  0.639  0.278
In  0.250  0.361  0.722



[4]
Computed, not measured: a relaxed structure of ThSc5Sb6 at the PBE level of DFT.

Computed properties:
Its total energy is -6.247 eV per atom. Its formation energy without anion corrections is -0.930 eV/atom. As for the total magnetization: 0.0 Bohr magnetons per cell. The theoretical density comes out at 6.141 g/cm3. The crystal system is monoclinic. Its symmetry is C2/m (12).

Unit cell a=7.337 b=7.327 c=7.323 alpha=59.98 beta=80.32 gamma=70.37
Fractional positions:
Sb  0.261  0.565  0.348
Sb  0.253  0.264  0.000
Sb  0.261  0.913  0.652
Sb  0.739  0.435  0.652
Sb  0.739  0.087  0.348
Sb  0.747  0.736  0.000
Sc  0.500  0.840  0.319
Sc  0.500  0.160  0.681
Sc  0.000  0.669  0.662
Sc  0.000  0.331  0.338
Sc  0.500  0.500  0.000
Th  0.000  0.000  0.000



[5]
Computed, not measured: a relaxed structure of LiRe2Ge at the PBE level of DFT.

Computed properties:
The value obtained for the offset from the most stable computed form is 254 meV per atom. Its total energy is -7.133 eV per atom. Its calculated formation energy is 69.88 kJ per mole of atoms. As for the total magnetization: 0.0 Bohr magnetons per cell. The theoretical density comes out at 10.978 g/cm3. The crystal system is tetragonal. Its symmetry is I-42d (122).

Unit cell a=7.758 b=7.758 c=5.938 alpha=49.21 beta=49.21 gamma=90.00
Fractional positions:
Re  0.052  0.625  0.250
Re  0.375  0.302  0.750
Re  0.698  0.125  0.250
Re  0.875  0.948  0.750
Li  0.250  0.750  0.500
Li  0.500  0.500  0.000
Ge  0.750  0.250  0.500
Ge  0.000  0.000  0.000



[6]
Computed, not measured: a relaxed structure of Tb2LuSb at the PBE level of DFT.

Computed properties:
The value obtained for the offset from the most stable computed form is 228 meV per atom. Its total energy is -4.750 eV per atom. Its formation energy without anion corrections is -0.274 eV/atom. As for the total magnetization: 0.9 Bohr magnetons per cell. The theoretical density comes out at 7.833 g/cm3. The crystal system is trigonal. Its symmetry is R-3m (166).

Unit cell a=3.966 b=3.966 c=9.836 alpha=78.37 beta=78.37 gamma=60.00
Fractional positions:
Tb  0.735  0.735  0.795
Tb  0.265  0.265  0.205
Sb  0.000  0.000  0.000
Lu  0.500  0.500  0.500